The following is a DFT calculation (GGA-PBE) of a relaxed MgI crystal.

Output
Energy in eV for the cell shown: -34.8
Raw formation energy in kcal/mol of atoms: -13.85
Density in g/cm3: 3.253

a b c (Å): 14.027 4.444 9.906
angles (deg): 90.00 90.00 90.00
Fractional coordinates of all 16 atoms:
1 Mg 0.059 0.250 0.100
2 Mg 0.129 0.250 0.822
3 Mg 0.371 0.750 0.322
4 Mg 0.441 0.750 0.600
5 Mg 0.559 0.250 0.400
6 Mg 0.629 0.250 0.678
7 Mg 0.871 0.750 0.178
8 Mg 0.941 0.750 0.900
9 I 0.064 0.750 0.658
10 I 0.176 0.750 0.232
11 I 0.324 0.250 0.732
12 I 0.436 0.250 0.158
13 I 0.564 0.750 0.842
14 I 0.676 0.750 0.268
15 I 0.824 0.250 0.768
16 I 0.936 0.250 0.342